Density functional theory data (PBE+U) for a relaxed KHfCr2O8 crystal.

Cell lengths 9.3295, 5.7039, 7.8594 Å; angles 90.00, 91.58, 90.00 degrees
Last column: nearest neighbours and their distance in Å.
Space group C2/m (No. 12)
Inequivalent atoms, fractional coordinates:
K: 0.0000 0.0000 0.0000 x2  6 O 2.90-3.01
Hf: 0.0000 0.0000 0.5000 x2  6 O 2.07
Cr: 0.1433 0.5000 0.2787 x4  4 O 1.63-1.73
O: 0.0444 0.2508 0.3180 x8  1 Cr 1.73
O: 0.1858 0.5000 0.0796 x4  1 Cr 1.63
O: 0.2111 0.0000 0.5869 x4  1 Cr 1.70

The total energy comes out at -0.5431 Ry per atom.